{
  "formula": "Sr2LiPb",
  "functional": "PBE-GGA",
  "state": "relaxed",
  "cell": [[3.991, 0.000, 0.000], [0.000, 5.107, 0.000], [0.000, 0.000, 7.213]],
  "species": ["Sr", "Sr", "Pb", "Li"],
  "frac_coords": [[0.500, 0.500, 0.293], [0.000, 0.000, 0.940], [0.500, 0.500, 0.761], [0.000, 0.000, 0.506]],
  "ef_ev_per_atom": -0.169,
  "final_energy_ev_per_atom": -2.42,
  "dos_ef_per_ev_atom": 0.879,
  "volume_a3_per_cell": 147
}

{
  "formula": "Sr2LiPb",
  "functional": "PBE-GGA",
  "state": "relaxed",
  "cell": [[-3.962, 3.695, -4.418], [-2.531, -3.034, -5.766], [0.299, -0.166, 6.982]],
  "species": ["Pb", "Li", "Sr", "Sr"],
  "frac_coords": [[0.280, 0.780, 0.500], [0.452, 0.452, 0.000], [0.739, 0.239, 0.500], [0.029, 0.029, 0.000]],
  "ef_ev_per_atom": -0.263,
  "final_energy_ev_per_atom": -2.51,
  "dos_ef_per_ev_atom": 0.760,
  "volume_a3_per_cell": 141
}

{
  "formula": "Sr3Li3Pb8",
  "functional": "PBE-GGA",
  "state": "relaxed",
  "cell": [[-0.455, 4.109, 3.163], [8.244, 0.400, 4.951], [5.845, 6.601, -3.451]],
  "species": ["Li", "Li", "Li", "Pb", "Pb", "Pb", "Pb", "Pb", "Pb", "Pb", "Pb", "Sr", "Sr", "Sr"],
  "frac_coords": [[0.664, 0.679, 0.994], [0.336, 0.321, 0.006], [0.000, 0.500, 0.500], [0.497, 0.328, 0.679], [0.142, 0.583, 0.133], [0.503, 0.672, 0.321], [0.642, 0.964, 0.752], [0.358, 0.036, 0.248], [0.152, 0.130, 0.565], [0.848, 0.870, 0.435], [0.858, 0.417, 0.867], [0.294, 0.702, 0.710], [0.000, 0.000, 0.000], [0.706, 0.298, 0.290]],
  "ef_ev_per_atom": -0.356,
  "final_energy_ev_per_atom": -3.25,
  "dos_ef_per_ev_atom": 0.274,
  "volume_a3_per_cell": 416
}

{
  "formula": "Sr4LiPb",
  "functional": "PBE-GGA",
  "state": "relaxed",
  "cell": [[-3.386, -0.841, 6.497], [-0.663, 5.739, 4.582], [-6.609, 3.066, 1.137]],
  "species": ["Sr", "Sr", "Sr", "Sr", "Li", "Pb"],
  "frac_coords": [[0.374, 0.877, 0.374], [0.374, 0.374, 0.877], [0.374, 0.374, 0.374], [0.877, 0.374, 0.374], [0.750, 0.750, 0.750], [0.000, 0.000, 0.000]],
  "ef_ev_per_atom": 0.289,
  "final_energy_ev_per_atom": -1.77,
  "dos_ef_per_ev_atom": 1.360,
  "volume_a3_per_cell": 284
}

{
  "formula": "Sr2Li2Pb",
  "functional": "PBE-GGA",
  "state": "relaxed",
  "cell": [[-0.744, 5.876, -2.534], [-3.859, -4.780, -1.763], [-3.805, 2.822, 7.662]],
  "species": ["Li", "Li", "Li", "Li", "Sr", "Sr", "Sr", "Sr", "Pb", "Pb"],
  "frac_coords": [[0.000, 0.759, 0.005], [0.759, 0.759, 0.505], [0.000, 0.241, 0.995], [0.241, 0.241, 0.495], [0.220, 0.694, 0.349], [0.527, 0.306, 0.151], [0.780, 0.306, 0.651], [0.473, 0.694, 0.849], [0.832, 0.000, 0.250], [0.168, 0.000, 0.750]],
  "ef_ev_per_atom": -0.289,
  "final_energy_ev_per_atom": -2.47,
  "polymorph_energy_ev_per_atom": 0.000,
  "dos_ef_per_ev_atom": 0.404,
  "volume_a3_per_cell": 310
}

{
  "formula": "Sr4LiPb5",
  "functional": "PBE-GGA",
  "state": "relaxed",
  "cell": [[-1.574, -1.085, 3.336], [3.475, 0.023, 1.647], [-2.747, 20.909, 5.502]],
  "species": ["Pb", "Pb", "Pb", "Pb", "Pb", "Sr", "Sr", "Sr", "Sr", "Li"],
  "frac_coords": [[0.500, 0.500, 0.926], [0.500, 0.500, 0.500], [0.500, 0.500, 0.285], [0.500, 0.500, 0.715], [0.500, 0.500, 0.074], [0.000, 0.000, 0.392], [0.000, 0.000, 0.608], [0.000, 0.000, 0.819], [0.000, 0.000, 0.181], [0.000, 0.000, 0.000]],
  "ef_ev_per_atom": -0.472,
  "final_energy_ev_per_atom": -3.19,
  "dos_ef_per_ev_atom": 0.516,
  "volume_a3_per_cell": 322
}

{
  "formula": "Sr3Li5Pb2",
  "functional": "PBE-GGA",
  "state": "relaxed",
  "cell": [[-2.274, 5.448, 3.764], [-4.448, -3.213, 8.474], [6.346, 1.881, 7.623]],
  "species": ["Li", "Li", "Li", "Li", "Li", "Li", "Li", "Li", "Li", "Li", "Pb", "Pb", "Pb", "Pb", "Sr", "Sr", "Sr", "Sr", "Sr", "Sr"],
  "frac_coords": [[0.020, 0.230, 0.230], [0.868, 0.528, 0.735], [0.750, 0.500, 0.500], [0.520, 0.230, 0.230], [0.368, 0.735, 0.528], [0.480, 0.770, 0.770], [0.632, 0.265, 0.472], [0.132, 0.472, 0.265], [0.980, 0.770, 0.770], [0.250, 0.500, 0.500], [0.361, 0.971, 0.306], [0.639, 0.029, 0.694], [0.861, 0.306, 0.971], [0.139, 0.694, 0.029], [0.750, 0.000, 0.000], [0.867, 0.865, 0.401], [0.633, 0.599, 0.135], [0.133, 0.135, 0.599], [0.367, 0.401, 0.865], [0.250, 0.000, 0.000]],
  "ef_ev_per_atom": -0.204,
  "final_energy_ev_per_atom": -2.41,
  "dos_ef_per_ev_atom": 0.465,
  "volume_a3_per_cell": 615
}

{
  "formula": "Sr2Li2Pb",
  "functional": "PBE-GGA",
  "state": "relaxed",
  "cell": [[9.220, 0.000, 0.000], [0.000, 9.220, 0.000], [0.000, 0.000, 4.254]],
  "species": ["Li", "Li", "Li", "Li", "Sr", "Sr", "Sr", "Sr", "Pb", "Pb"],
  "frac_coords": [[0.370, 0.130, 0.500], [0.130, 0.630, 0.500], [0.630, 0.870, 0.500], [0.870, 0.370, 0.500], [0.663, 0.163, 0.000], [0.337, 0.837, 0.000], [0.837, 0.663, 0.000], [0.163, 0.337, 0.000], [0.000, 0.000, 0.000], [0.500, 0.500, 0.000]],
  "ef_ev_per_atom": 0.023,
  "final_energy_ev_per_atom": -2.16,
  "polymorph_energy_ev_per_atom": 0.312,
  "dos_ef_per_ev_atom": 0.430,
  "volume_a3_per_cell": 362
}

{
  "formula": "Sr2LiPb",
  "functional": "PBE-GGA",
  "state": "relaxed",
  "cell": [[-0.432, 3.832, -8.284], [5.385, -6.590, -3.329], [-0.507, -3.419, -6.595]],
  "species": ["Sr", "Sr", "Sr", "Sr", "Li", "Li", "Pb", "Pb"],
  "frac_coords": [[0.375, 0.368, 0.750], [0.875, 0.882, 0.750], [0.632, 0.125, 0.250], [0.118, 0.625, 0.250], [0.250, 0.750, 0.500], [0.500, 0.500, 0.000], [0.000, 0.000, 0.000], [0.750, 0.250, 0.500]],
  "ef_ev_per_atom": -0.042,
  "final_energy_ev_per_atom": -2.29,
  "dos_ef_per_ev_atom": 1.016,
  "volume_a3_per_cell": 309
}

{
  "formula": "Sr2LiPb",
  "functional": "PBE-GGA",
  "state": "relaxed",
  "cell": [[5.230, 0.000, 0.000], [0.000, 4.193, 0.004], [0.000, 2.082, 6.554]],
  "species": ["Sr", "Sr", "Li", "Pb"],
  "frac_coords": [[0.000, 0.978, 0.919], [0.500, 0.278, 0.318], [0.000, 0.684, 0.507], [0.500, 0.559, 0.757]],
  "ef_ev_per_atom": -0.329,
  "final_energy_ev_per_atom": -2.58,
  "dos_ef_per_ev_atom": 0.717,
  "volume_a3_per_cell": 144
}

{
  "formula": "Sr2LiPb",
  "functional": "PBE-GGA",
  "state": "relaxed",
  "cell": [[-5.605, 0.997, 0.787], [-2.465, -1.266, 5.035], [-1.703, 4.222, 3.508]],
  "species": ["Li", "Pb", "Sr", "Sr"],
  "frac_coords": [[0.500, 0.500, 0.500], [0.750, 0.750, 0.750], [0.000, 0.000, 0.000], [0.250, 0.250, 0.250]],
  "ef_ev_per_atom": -0.174,
  "final_energy_ev_per_atom": -2.42,
  "dos_ef_per_ev_atom": 0.680,
  "volume_a3_per_cell": 134
}

{
  "formula": "SrLi2Pb2",
  "functional": "PBE-GGA",
  "state": "relaxed",
  "cell": [[-3.117, -1.027, 3.283], [0.952, -4.514, -0.508], [3.476, -2.312, 5.859]],
  "species": ["Sr", "Pb", "Pb", "Li", "Li"],
  "frac_coords": [[0.000, 0.000, 0.000], [0.617, 0.617, 0.766], [0.383, 0.383, 0.234], [0.750, 0.250, 0.500], [0.250, 0.750, 0.500]],
  "ef_ev_per_atom": -0.367,
  "final_energy_ev_per_atom": -2.95,
  "polymorph_energy_ev_per_atom": 0.000,
  "dos_ef_per_ev_atom": 0.481,
  "volume_a3_per_cell": 138
}

{
  "formula": "Sr2LiPb",
  "functional": "PBE-GGA",
  "state": "relaxed",
  "cell": [[-2.425, 6.511, 8.600], [-2.508, 2.811, 10.394], [1.070, 4.783, 9.910]],
  "species": ["Sr", "Sr", "Pb", "Li"],
  "frac_coords": [[0.494, 0.494, 0.494], [0.006, 0.006, 0.006], [0.750, 0.750, 0.750], [0.250, 0.250, 0.250]],
  "ef_ev_per_atom": -0.103,
  "final_energy_ev_per_atom": -2.35,
  "dos_ef_per_ev_atom": 1.103,
  "volume_a3_per_cell": 158
}

{
  "formula": "Sr3Li4Pb4",
  "functional": "PBE-GGA",
  "state": "relaxed",
  "cell": [[-1.701, -3.023, -3.544], [6.237, -4.474, 0.822], [-6.189, -0.679, 7.020]],
  "species": ["Pb", "Pb", "Pb", "Pb", "Sr", "Sr", "Sr", "Li", "Li", "Li", "Li"],
  "frac_coords": [[0.212, 0.712, 0.424], [0.500, 0.194, 0.000], [0.500, 0.806, 0.000], [0.788, 0.288, 0.576], [0.131, 0.131, 0.262], [0.869, 0.869, 0.738], [0.000, 0.500, 0.000], [0.674, 0.862, 0.347], [0.326, 0.138, 0.653], [0.326, 0.514, 0.653], [0.674, 0.486, 0.347]],
  "ef_ev_per_atom": -0.411,
  "final_energy_ev_per_atom": -2.91,
  "polymorph_energy_ev_per_atom": 0.004,
  "dos_ef_per_ev_atom": 0.846,
  "volume_a3_per_cell": 313
}

{
  "formula": "Sr2Li3Pb",
  "functional": "PBE-GGA",
  "state": "relaxed",
  "cell": [[5.488, -0.158, -2.902], [-3.480, 5.137, -0.259], [-0.141, 0.265, 6.465]],
  "species": ["Pb", "Li", "Li", "Li", "Sr", "Sr"],
  "frac_coords": [[0.000, 0.000, 0.000], [0.000, 0.000, 0.500], [0.500, 0.500, 0.500], [0.500, 0.000, 0.500], [0.749, 0.374, 0.124], [0.251, 0.626, 0.876]],
  "ef_ev_per_atom": -0.201,
  "final_energy_ev_per_atom": -2.34,
  "dos_ef_per_ev_atom": 0.927,
  "volume_a3_per_cell": 180
}

{
  "formula": "Sr3Li2Pb7",
  "functional": "PBE-GGA",
  "state": "relaxed",
  "cell": [[4.733, 0.000, -0.650], [-0.089, 4.733, -0.650], [-0.144, -0.146, 16.511]],
  "species": ["Pb", "Pb", "Pb", "Pb", "Pb", "Pb", "Pb", "Sr", "Sr", "Sr", "Li", "Li"],
  "frac_coords": [[0.771, 0.771, 0.542], [0.582, 0.082, 0.164], [0.918, 0.418, 0.836], [0.229, 0.229, 0.458], [0.082, 0.582, 0.164], [0.000, 0.000, 0.000], [0.418, 0.918, 0.836], [0.668, 0.668, 0.335], [0.500, 0.500, 0.000], [0.332, 0.332, 0.665], [0.862, 0.862, 0.725], [0.138, 0.138, 0.275]],
  "ef_ev_per_atom": -0.313,
  "final_energy_ev_per_atom": -3.22,
  "dos_ef_per_ev_atom": 0.347,
  "volume_a3_per_cell": 369
}

{
  "formula": "Sr2Li2Pb",
  "functional": "PBE-GGA",
  "state": "relaxed",
  "cell": [[-1.630, 4.980, -5.617], [-4.624, -5.194, -3.263], [-4.032, 1.833, 2.795]],
  "species": ["Sr", "Sr", "Sr", "Sr", "Li", "Li", "Li", "Li", "Pb", "Pb"],
  "frac_coords": [[0.197, 0.697, 0.500], [0.697, 0.803, 0.500], [0.303, 0.197, 0.500], [0.803, 0.303, 0.500], [0.129, 0.371, 0.000], [0.371, 0.871, 0.000], [0.871, 0.629, 0.000], [0.629, 0.129, 0.000], [0.500, 0.500, 0.000], [0.000, 0.000, 0.000]],
  "ef_ev_per_atom": -0.228,
  "final_energy_ev_per_atom": -2.41,
  "polymorph_energy_ev_per_atom": 0.060,
  "dos_ef_per_ev_atom": 0.442,
  "volume_a3_per_cell": 309
}

{
  "formula": "SrLi2Pb3",
  "functional": "PBE-GGA",
  "state": "relaxed",
  "cell": [[-5.652, 2.929, 1.154], [-3.315, -4.627, -4.491], [-0.603, -3.626, 6.249]],
  "species": ["Pb", "Pb", "Pb", "Pb", "Pb", "Pb", "Li", "Li", "Li", "Li", "Sr", "Sr"],
  "frac_coords": [[0.750, 0.024, 0.024], [0.250, 0.902, 0.542], [0.250, 0.542, 0.902], [0.250, 0.976, 0.976], [0.750, 0.458, 0.098], [0.750, 0.098, 0.458], [0.500, 0.780, 0.220], [0.500, 0.220, 0.780], [0.000, 0.780, 0.220], [0.000, 0.220, 0.780], [0.250, 0.345, 0.345], [0.750, 0.655, 0.655]],
  "ef_ev_per_atom": -0.305,
  "final_energy_ev_per_atom": -3.08,
  "polymorph_energy_ev_per_atom": 0.030,
  "dos_ef_per_ev_atom": 0.391,
  "volume_a3_per_cell": 335
}

{
  "formula": "Sr2Li2Pb",
  "functional": "PBE-GGA",
  "state": "relaxed",
  "cell": [[5.023, 0.000, 0.000], [2.511, 5.996, -0.372], [2.511, 0.252, 11.129]],
  "species": ["Pb", "Pb", "Li", "Li", "Li", "Li", "Sr", "Sr", "Sr", "Sr"],
  "frac_coords": [[0.400, 0.863, 0.337], [0.600, 0.137, 0.663], [0.123, 0.206, 0.547], [0.877, 0.794, 0.453], [0.390, 0.098, 0.121], [0.610, 0.902, 0.879], [0.087, 0.705, 0.122], [0.913, 0.295, 0.878], [0.685, 0.291, 0.340], [0.315, 0.709, 0.660]],
  "ef_ev_per_atom": -0.267,
  "final_energy_ev_per_atom": -2.45,
  "polymorph_energy_ev_per_atom": 0.022,
  "dos_ef_per_ev_atom": 0.719,
  "volume_a3_per_cell": 336
}

{
  "formula": "SrLiTa2Pb",
  "functional": "PBE-GGA",
  "state": "relaxed",
  "cell": [[5.673, 0.000, 0.000], [0.000, 5.988, 0.000], [0.000, 0.000, 5.673]],
  "species": ["Ta", "Ta", "Pb", "Li", "Sr"],
  "frac_coords": [[0.000, 0.000, 0.500], [0.500, 0.000, 0.000], [0.000, 0.000, 0.000], [0.500, 0.500, 0.500], [0.000, 0.500, 0.000]],
  "ef_ev_per_atom": 1.747,
  "final_energy_ev_per_atom": -4.45,
  "dos_ef_per_ev_atom": 1.257,
  "volume_a3_per_cell": 193
}